Entry 1:
TiReOF2 | GGA-PBE | relaxed

Lattice parameters (Å, degrees): 4.3537 4.3537 3.7868 90.00 90.00 90.00
Space group P4/mmm (No. 123)
Asymmetric unit:
Ti (0.0000, 0.0000, 0.0000) [1 per cell]
Re (0.5000, 0.5000, 0.5000) [1 per cell]
O (0.5000, 0.5000, 0.0000) [1 per cell]
F (0.0000, 0.5000, 0.5000) [2 per cell]

Properties
ΔE_f (raw) = -645 meV per atom
Total DFT energy (no corrections) = -6.453 eV/atom
Energy relative to the lowest polymorph listed for this composition = 1.63 eV per formula unit

---

Entry 2:
TiReOF2 | GGA-PBE | relaxed

Lattice parameters (Å, degrees): 4.2928 4.2928 3.8268 90.00 90.00 90.00
Space group P4/mmm (No. 123)
Asymmetric unit:
Ti (0.0000, 0.0000, 0.0000) [1 per cell]
Re (0.5000, 0.5000, 0.5000) [1 per cell]
O (0.0000, 0.0000, 0.5000) [1 per cell]
F (0.0000, 0.5000, 0.0000) [2 per cell]

Properties
ΔE_f (raw) = -970 meV per atom
Total DFT energy (no corrections) = -6.778 eV/atom
Energy relative to the lowest polymorph listed for this composition = 0.00 eV per formula unit

---

Entry 3:
TlReO2F | GGA-PBE | relaxed

Lattice parameters (Å, degrees): 4.3175 4.3175 4.3745 90.00 90.00 90.00
Space group P4/mmm (No. 123)
Asymmetric unit:
Tl (0.0000, 0.0000, 0.0000) [1 per cell]
Re (0.5000, 0.5000, 0.5000) [1 per cell]
O (0.0000, 0.5000, 0.0000) [2 per cell]
F (0.0000, 0.0000, 0.5000) [1 per cell]

Properties
ΔE_f (raw) = 510 meV per atom
Total DFT energy (no corrections) = -4.810 eV/atom

---

Entry 4:
TlReO2F | GGA-PBE | relaxed

Lattice parameters (Å, degrees): 3.8868 3.8868 4.7604 90.00 90.00 90.00
Space group P4/mmm (No. 123)
Asymmetric unit:
Tl (0.0000, 0.0000, 0.0000) [1 per cell]
Re (0.5000, 0.5000, 0.5000) [1 per cell]
O (0.0000, 0.5000, 0.5000) [2 per cell]
F (0.5000, 0.5000, 0.0000) [1 per cell]

Properties
ΔE_f (raw) = -1230 meV per atom
Total DFT energy (no corrections) = -6.550 eV/atom

---

Entry 5:
Tl2ReO2F4 | GGA-PBE | relaxed

Lattice parameters (Å, degrees): 10.4479 6.1805 4.9959 90.00 94.76 90.00
Space group C2/m (No. 12)
Asymmetric unit:
Tl (0.1731, 0.0000, 0.3218) [4 per cell]
Re (0.0000, 0.5000, 0.0000) [2 per cell]
O (0.1407, 0.5000, 0.2328) [4 per cell]
F (0.0784, 0.2686, 0.7929) [8 per cell]

Properties
ΔE_f (raw) = -1806 meV per atom
Total DFT energy (no corrections) = -5.648 eV/atom

---

Entry 6:
TlReOF2 | GGA-PBE | relaxed

Lattice parameters (Å, degrees): 4.6001 4.6001 4.2323 90.00 90.00 90.00
Space group P4/mmm (No. 123)
Asymmetric unit:
Tl (0.0000, 0.0000, 0.0000) [1 per cell]
Re (0.5000, 0.5000, 0.5000) [1 per cell]
O (0.0000, 0.0000, 0.5000) [1 per cell]
F (0.0000, 0.5000, 0.0000) [2 per cell]

Properties
ΔE_f (raw) = 142 meV per atom
Total DFT energy (no corrections) = -4.561 eV/atom
Energy relative to the lowest polymorph listed for this composition = 6.40 eV per formula unit

---

Entry 7:
Tl2ReOF5 | GGA-PBE | relaxed

Lattice parameters (Å, degrees): 6.4822 6.4822 8.3425 90.00 90.00 90.00
Space group I4mm (No. 107)
Asymmetric unit:
Tl (0.0000, 0.5000, 0.0000) [4 per cell]
Re (0.0000, 0.0000, 0.2425) [2 per cell]
O (0.0000, 0.0000, 0.4480) [2 per cell]
F (0.0000, 0.0000, 0.0051) [2 per cell]
F (0.2181, 0.2181, 0.2123) [8 per cell]

Properties
ΔE_f (raw) = -1886 meV per atom
Total DFT energy (no corrections) = -5.385 eV/atom

---

Entry 8:
TlReOF2 | GGA-PBE | relaxed

Lattice parameters (Å, degrees): 4.4196 4.4196 3.8427 90.00 90.00 90.00
Space group P4/mmm (No. 123)
Asymmetric unit:
Tl (0.0000, 0.0000, 0.0000) [1 per cell]
Re (0.5000, 0.5000, 0.5000) [1 per cell]
O (0.5000, 0.5000, 0.0000) [1 per cell]
F (0.0000, 0.5000, 0.5000) [2 per cell]

Properties
ΔE_f (raw) = -1139 meV per atom
Total DFT energy (no corrections) = -5.842 eV/atom
Energy relative to the lowest polymorph listed for this composition = 0.00 eV per formula unit

---

Repeat the seventh record exactly.
Tl2ReOF5 | GGA-PBE | relaxed

Lattice parameters (Å, degrees): 6.4822 6.4822 8.3425 90.00 90.00 90.00
Space group I4mm (No. 107)
Asymmetric unit:
Tl (0.0000, 0.5000, 0.0000) [4 per cell]
Re (0.0000, 0.0000, 0.2425) [2 per cell]
O (0.0000, 0.0000, 0.4480) [2 per cell]
F (0.0000, 0.0000, 0.0051) [2 per cell]
F (0.2181, 0.2181, 0.2123) [8 per cell]

Properties
ΔE_f (raw) = -1886 meV per atom
Total DFT energy (no corrections) = -5.385 eV/atom